No. 1
Below is a geometry-optimized NaPaI6 structure, with properties calculated at the PBE level.

Structure (CIF):
```
data_NaPaI6
_chemical_formula_sum 'Na1 Pa1 I6'
_cell_length_a 7.7671
_cell_length_b 7.7671
_cell_length_c 7.1565
_cell_angle_alpha 90.00
_cell_angle_beta 90.00
_cell_angle_gamma 120.00
_space_group_name_H-M_alt 'P 3 1 2'
_space_group_IT_number 149
_space_group_name_Hall 'P 3 2'
loop_
_atom_site_label
_atom_site_fract_x
_atom_site_fract_y
_atom_site_fract_z
_atom_site_occupancy
Na1 0.0000 0.0000 0.0000 1
Pa1 0.6667 0.3333 0.5000 1
I1 0.3589 0.0191 0.7376 1
```

Values from the calculation:
* raw formation energy: -1000 meV/atom
* magnetic moment: 0.00 μB/f.u.

***

No. 2
Below is a geometry-optimized Na2PaI6 structure, with properties calculated at the PBE level.

Structure (CIF):
```
data_Na2PaI6
_chemical_formula_sum 'Na4 Pa2 I12'
_cell_length_a 7.595
_cell_length_b 7.595
_cell_length_c 13.985
_cell_angle_alpha 90.00
_cell_angle_beta 90.00
_cell_angle_gamma 90.00
_space_group_name_H-M_alt 'P 42/m n m'
_space_group_IT_number 136
_space_group_name_Hall '-P 4n 2n'
loop_
_atom_site_label
_atom_site_fract_x
_atom_site_fract_y
_atom_site_fract_z
_atom_site_occupancy
Na1 0.000 0.000 0.166 1
Pa1 0.000 0.000 0.500 1
I1 0.196 0.196 0.343 1
I2 0.216 0.216 0.000 1
```

Values from the calculation:
* raw formation energy: -1081 meV/atom
* magnetic moment: 1.00 μB/f.u.

***

| no. | energy above the lowest structure with this stoichiometry (kcal/mol of atoms) |
| --- | --- |
| 1 | 0.26 |
| 2 | 0.38 |